# Nd4CuHg

An optimized crystal structure of Nd4CuHg (GGA-PBE, Alexandria via LeMat-Bulk).

Magnetization   0.55 μB/cell
Energy above the most stable polymorph in this dataset   0.0000 eV per atom
Space group   No. 123
Total DFT energy (no corrections)   -4.091 eV per atom
ΔH_f (0 K)   -180 meV/atom

Lattice parameters (Å, degrees): 3.6907 3.6907 12.8455 90.00 90.00 90.00
Fractional positions:
Nd 0.0000 0.0000 0.1335
Nd 0.0000 0.0000 0.8665
Nd 0.5000 0.5000 0.3412
Nd 0.5000 0.5000 0.6588
Cu 0.5000 0.5000 0.0000
Hg 0.0000 0.0000 0.5000

# Nd3Cu2Hg

An optimized crystal structure of Nd3Cu2Hg (GGA-PBE, Alexandria via LeMat-Bulk).

Magnetization   0.00 μB/cell
Energy above the most stable polymorph in this dataset   0.0107 eV per atom
Space group   No. 65
Total DFT energy (no corrections)   -4.031 eV per atom
ΔH_f (0 K)   -232 meV/atom

Lattice parameters (Å, degrees): 8.1750 8.1750 3.6993 90.00 90.00 142.65
Fractional positions:
Nd 0.0000 0.0000 0.0000
Nd 0.3245 0.6755 0.0000
Nd 0.6755 0.3245 0.0000
Cu 0.1626 0.8374 0.5000
Cu 0.8374 0.1626 0.5000
Hg 0.5000 0.5000 0.5000

# Nd6CuHg2

An optimized crystal structure of Nd6CuHg2 (GGA-PBE, Alexandria via LeMat-Bulk).

Magnetization   0.00 μB/cell
Space group   No. 14
Total DFT energy (no corrections)   -3.850 eV per atom
ΔH_f (0 K)   -150 meV/atom

Lattice parameters (Å, degrees): 6.3796 8.1731 12.3155 90.00 120.66 90.00
Fractional positions:
Nd 0.0824 0.2087 0.4490
Nd 0.0824 0.2913 0.9490
Nd 0.3094 0.6581 0.4540
Nd 0.3094 0.8419 0.9540
Nd 0.3793 0.0421 0.2422
Nd 0.3793 0.4579 0.7422
Nd 0.6207 0.5421 0.2578
Nd 0.6207 0.9579 0.7578
Nd 0.6906 0.1581 0.0460
Nd 0.6906 0.3419 0.5460
Nd 0.9176 0.7087 0.0510
Nd 0.9176 0.7913 0.5510
Cu 0.5000 0.0000 0.5000
Cu 0.5000 0.5000 0.0000
Hg 0.1343 0.1094 0.7325
Hg 0.1343 0.3906 0.2325
Hg 0.8657 0.6094 0.7675
Hg 0.8657 0.8906 0.2675

# Nd3Cu2Hg

An optimized crystal structure of Nd3Cu2Hg (GGA-PBE, Alexandria via LeMat-Bulk).

Magnetization   0.20 μB/cell
Energy above the most stable polymorph in this dataset   0.0000 eV per atom
Space group   No. 123
Total DFT energy (no corrections)   -4.042 eV per atom
ΔH_f (0 K)   -242 meV/atom

Lattice parameters (Å, degrees): 3.6564 3.6564 11.1651 90.00 90.00 90.00
Fractional positions:
Nd 0.0000 0.0000 0.0000
Nd 0.0000 0.0000 0.3153
Nd 0.0000 0.0000 0.6847
Cu 0.5000 0.5000 0.1560
Cu 0.5000 0.5000 0.8440
Hg 0.5000 0.5000 0.5000

# Nd6CuHg5

An optimized crystal structure of Nd6CuHg5 (GGA-PBE, Alexandria via LeMat-Bulk).

Magnetization   2.00 μB/cell
Space group   No. 71
Total DFT energy (no corrections)   -3.255 eV per atom
ΔH_f (0 K)   -404 meV/atom

Lattice parameters (Å, degrees): 9.3061 9.3061 9.3061 146.47 131.36 60.37
Fractional positions:
Nd 0.0816 0.3384 0.7432
Nd 0.2379 0.0000 0.2379
Nd 0.4048 0.6616 0.7432
Nd 0.5952 0.3384 0.2568
Nd 0.7621 0.0000 0.7621
Nd 0.9184 0.6616 0.2568
Cu 0.0000 0.5000 0.5000
Hg 0.1723 0.1723 0.0000
Hg 0.3333 0.8333 0.5000
Hg 0.5000 0.5000 0.0000
Hg 0.6667 0.1667 0.5000
Hg 0.8277 0.8277 0.0000

# Nd6CuHg3

An optimized crystal structure of Nd6CuHg3 (GGA-PBE, Alexandria via LeMat-Bulk).

Magnetization   0.00 μB/cell
Space group   No. 11
Total DFT energy (no corrections)   -3.630 eV per atom
ΔH_f (0 K)   -269 meV/atom

Lattice parameters (Å, degrees): 9.3971 5.3699 11.9106 90.00 108.25 90.00
Fractional positions:
Nd 0.0198 0.2500 0.4056
Nd 0.1665 0.7500 0.1748
Nd 0.2504 0.2500 0.9993
Nd 0.3719 0.7500 0.8419
Nd 0.3725 0.2500 0.3498
Nd 0.3946 0.2500 0.6363
Nd 0.6054 0.7500 0.3637
Nd 0.6275 0.7500 0.6502
Nd 0.6281 0.2500 0.1581
Nd 0.7496 0.7500 0.0007
Nd 0.8335 0.2500 0.8252
Nd 0.9802 0.7500 0.5944
Cu 0.4458 0.7500 0.1069
Cu 0.5542 0.2500 0.8931
Hg 0.0271 0.7500 0.8754
Hg 0.1130 0.2500 0.7193
Hg 0.2719 0.7500 0.4732
Hg 0.7281 0.2500 0.5268
Hg 0.8870 0.7500 0.2807
Hg 0.9729 0.2500 0.1246

# Nd2Cu2Hg

An optimized crystal structure of Nd2Cu2Hg (GGA-PBE, Alexandria via LeMat-Bulk).

Magnetization   0.00 μB/cell
Space group   No. 65
Total DFT energy (no corrections)   -3.920 eV per atom
ΔH_f (0 K)   -314 meV/atom

Lattice parameters (Å, degrees): 7.5226 7.5226 3.7837 90.00 90.00 147.18
Fractional positions:
Nd 0.1327 0.8673 0.0000
Nd 0.8673 0.1327 0.0000
Cu 0.2970 0.7030 0.5000
Cu 0.7030 0.2970 0.5000
Hg 0.5000 0.5000 0.5000

# Nd2CuHg

An optimized crystal structure of Nd2CuHg (GGA-PBE, Alexandria via LeMat-Bulk).

Magnetization   0.00 μB/cell
Energy above the most stable polymorph in this dataset   0.0211 eV per atom
Space group   No. 225
Total DFT energy (no corrections)   -3.760 eV per atom
ΔH_f (0 K)   -277 meV/atom

Lattice parameters (Å, degrees): 5.2821 5.2821 5.2821 60.00 60.00 60.00
Fractional positions:
Nd 0.2500 0.2500 0.2500
Nd 0.7500 0.7500 0.7500
Cu 0.0000 0.0000 0.0000
Hg 0.5000 0.5000 0.5000